{
  "formula": "Tm5NiSn2",
  "functional": "PBE",
  "state": "relaxed",
  "cell": [[5.4720, 0.0000, 0.0000], [-2.7360, 7.6623, 0.0000], [0.0000, 0.0000, 13.6355]],
  "species": ["Tm", "Tm", "Tm", "Tm", "Tm", "Tm", "Tm", "Tm", "Tm", "Tm", "Ni", "Ni", "Sn", "Sn", "Sn", "Sn"],
  "fractional_positions": [[0.9470, 0.8941, 0.8799], [0.9470, 0.8941, 0.6201], [0.2804, 0.5607, 0.4015], [0.2804, 0.5607, 0.0985], [0.7095, 0.4190, 0.2500], [0.2905, 0.5810, 0.7500], [0.7196, 0.4393, 0.5985], [0.7196, 0.4393, 0.9015], [0.0530, 0.1059, 0.1201], [0.0530, 0.1059, 0.3799], [0.8254, 0.6508, 0.7500], [0.1746, 0.3492, 0.2500], [0.8579, 0.7157, 0.4222], [0.8579, 0.7157, 0.0778], [0.1421, 0.2843, 0.5778], [0.1421, 0.2843, 0.9222]],
  "dft_energy_ev_per_atom": -4.5904,
  "e_form_kj_per_mol_atoms": -7.0,
  "space_group": "Cmcm (63)"
}